No. 1
## VAgMo2 (PBE-GGA)

Data for a geometry-optimized VAgMo2 structure.

Geometry as CIF:
```
data_VAgMo2
_symmetry_space_group_name_H-M 'I -4 2 d'
_symmetry_Int_Tables_number 122
_symmetry_space_group_name_Hall 'I -4 2bw'
_cell_length_a 3.778
_cell_length_b 3.778
_cell_length_c 19.201
_cell_angle_alpha 90.00
_cell_angle_beta 90.00
_cell_angle_gamma 90.00
loop_
_atom_site_label
_atom_site_type_symbol
_atom_site_fract_x
_atom_site_fract_y
_atom_site_fract_z
V1 V 0.000 0.000 0.000
Ag1 Ag 0.000 0.000 0.500
Mo1 Mo 0.224 0.250 0.125
```

Calculated values
Crystal system: tetragonal
E above lowest polymorph (eV/atom): 0.3012

No. 2
## V2AgMo (PBE-GGA)

Data for a geometry-optimized V2AgMo structure.

Geometry as CIF:
```
data_V2AgMo
_symmetry_space_group_name_H-M 'F m -3 m'
_symmetry_Int_Tables_number 225
_symmetry_space_group_name_Hall '-F 4 2 3'
_cell_length_a 6.228
_cell_length_b 6.228
_cell_length_c 6.228
_cell_angle_alpha 90.00
_cell_angle_beta 90.00
_cell_angle_gamma 90.00
loop_
_atom_site_label
_atom_site_type_symbol
_atom_site_fract_x
_atom_site_fract_y
_atom_site_fract_z
V1 V 0.250 0.250 0.250
Ag1 Ag 0.000 0.000 0.000
Mo1 Mo 0.000 0.000 0.500
```

Calculated values
Crystal system: cubic
E above lowest polymorph (eV/atom): 0.1405

No. 3
## VAg3Mo (PBE-GGA)

Data for a geometry-optimized VAg3Mo structure.

Geometry as CIF:
```
data_VAg3Mo
_symmetry_space_group_name_H-M 'P m -3 m'
_symmetry_Int_Tables_number 221
_symmetry_space_group_name_Hall '-P 4 2 3'
_cell_length_a 4.883
_cell_length_b 4.883
_cell_length_c 4.883
_cell_angle_alpha 90.00
_cell_angle_beta 90.00
_cell_angle_gamma 90.00
loop_
_atom_site_label
_atom_site_type_symbol
_atom_site_fract_x
_atom_site_fract_y
_atom_site_fract_z
V1 V 0.000 0.000 0.000
Ag1 Ag 0.000 0.000 0.500
Mo1 Mo 0.500 0.500 0.500
```

Calculated values
Crystal system: cubic
E above lowest polymorph (eV/atom): 0.0000

No. 4
## YV2AgMo (PBE-GGA)

Data for a geometry-optimized YV2AgMo structure.

Geometry as CIF:
```
data_YV2AgMo
_symmetry_space_group_name_H-M 'P 4/m m m'
_symmetry_Int_Tables_number 123
_symmetry_space_group_name_Hall '-P 4 2'
_cell_length_a 4.572
_cell_length_b 4.572
_cell_length_c 4.983
_cell_angle_alpha 90.00
_cell_angle_beta 90.00
_cell_angle_gamma 90.00
loop_
_atom_site_label
_atom_site_type_symbol
_atom_site_fract_x
_atom_site_fract_y
_atom_site_fract_z
Y1 Y 0.000 0.000 0.000
V1 V 0.000 0.500 0.000
Ag1 Ag 0.000 0.000 0.500
Mo1 Mo 0.500 0.500 0.500
```

Calculated values
Crystal system: tetragonal

Record order is preserved below.
Formation energy: 0.857; 0.327; 1.736; 2.226 eV per atom
Record order is preserved below.
Spin magnetization: 0.279; 0.011; 1.325; 0.000 μB/atom
Record order is preserved below.
Fermi-level density of states: 17.12; 24.61; 5.94; 8.10 states/eV/cell